1.
# MnMoAs

A geometry-optimized MnMoAs structure (GGA-PBEsol, Alexandria).

E_form   0.240 eV/atom
Crystal system   cubic

a b c (Å): 5.7541 5.7541 5.7541
angles (deg): 90.00 90.00 90.00
Space group F-43m (No. 216)
Inequivalent atoms, fractional coordinates:
Mn1 0.0000 0.0000 0.0000 [4 per cell]
Mo1 0.0000 0.0000 0.5000 [4 per cell]
As1 0.2500 0.2500 0.2500 [4 per cell]


2.
# SiRu2Br

A geometry-optimized SiRu2Br structure (GGA-PBEsol, Alexandria).

Formation energy without anion corrections   554 meV/atom
Crystal system   orthorhombic

a b c (Å): 2.8529 4.0732 5.1825
angles (deg): 90.00 90.00 90.00
Space group Pmmm (No. 47)
Inequivalent atoms, fractional coordinates:
Si1 0.0000 0.0000 0.0000 [1 per cell]
Ru1 0.0000 0.5000 0.5000 [1 per cell]
Ru2 0.5000 0.5000 0.0000 [1 per cell]
Br1 0.5000 0.0000 0.5000 [1 per cell]


3.
# FeTc2Hg

A geometry-optimized FeTc2Hg structure (GGA-PBEsol, Alexandria).

E_form   0.500 eV/atom
Crystal system   tetragonal

a b c (Å): 3.7899 3.7899 4.0216
angles (deg): 90.00 90.00 90.00
Space group P4/mmm (No. 123)
Inequivalent atoms, fractional coordinates:
Fe1 0.0000 0.0000 0.0000 [1 per cell]
Tc1 0.0000 0.5000 0.5000 [2 per cell]
Hg1 0.5000 0.5000 0.0000 [1 per cell]


4.
# MgTlCF2

A geometry-optimized MgTlCF2 structure (GGA-PBEsol, Alexandria).

Formation energy without anion corrections   148 meV/atom
Crystal system   tetragonal

a b c (Å): 4.0444 4.0444 4.6909
angles (deg): 90.00 90.00 90.00
Space group P4/mmm (No. 123)
Inequivalent atoms, fractional coordinates:
Mg1 0.0000 0.0000 0.0000 [1 per cell]
Tl1 0.5000 0.5000 0.0000 [1 per cell]
C1 0.5000 0.5000 0.5000 [1 per cell]
F1 0.0000 0.5000 0.5000 [2 per cell]


5.
# BeOs

A geometry-optimized BeOs structure (GGA-PBEsol, Alexandria).

E_form   0.324 eV/atom
Crystal system   trigonal

a b c (Å): 3.2025 3.2025 14.7145
angles (deg): 90.00 90.00 120.00
Space group R-3m (No. 166, hexagonal axes)
Inequivalent atoms, fractional coordinates:
Be1 0.0000 0.0000 0.1731 [6 per cell]
Os1 0.0000 0.0000 0.4024 [6 per cell]


6.
# MgTl2In

A geometry-optimized MgTl2In structure (GGA-PBEsol, Alexandria).

E_form   0.014 eV/atom
Crystal system   cubic

a b c (Å): 7.4754 7.4754 7.4754
angles (deg): 90.00 90.00 90.00
Space group F-43m (No. 216)
Inequivalent atoms, fractional coordinates:
Mg1 0.0000 0.0000 0.0000 [4 per cell]
Tl1 0.0000 0.0000 0.5000 [4 per cell]
Tl2 0.2500 0.2500 0.7500 [4 per cell]
In1 0.2500 0.2500 0.2500 [4 per cell]